[1]
6
Lattice="0.000 3.449 3.449 3.449 0.000 3.449 3.449 3.449 0.000" Properties=species:S:1:pos:R:3 comment="Zn4ReTc | Alexandria via LeMat-Bulk | PBE-GGA | relaxed" formation_enthalpy_0k_ev_per_atom=0.206 pbc="T T T"
Zn 0.861 0.861 0.861
Zn 2.588 2.588 0.861
Zn 2.588 0.861 2.588
Zn 0.861 2.588 2.588
Re 5.173 5.173 5.173
Tc 3.449 3.449 3.449

[2]
4
Lattice="0.000 3.045 3.045 3.045 0.000 3.045 3.045 3.045 0.000" Properties=species:S:1:pos:R:3 comment="Zn2ReTc | Alexandria via LeMat-Bulk | PBE-GGA | relaxed" de_polymorph_mev_per_atom=428 formation_enthalpy_0k_ev_per_atom=0.457 pbc="T T T"
Zn 1.522 1.522 1.522
Zn 4.567 4.567 4.567
Re 0.000 0.000 0.000
Tc 3.045 3.045 3.045

[3]
5
Lattice="4.414 0.000 0.000 0.000 4.414 0.000 0.000 0.000 4.414" Properties=species:S:1:pos:R:3 comment="ZnRe3Tc | Alexandria via LeMat-Bulk | PBE-GGA | relaxed" de_polymorph_mev_per_atom=0 formation_enthalpy_0k_ev_per_atom=2.074 pbc="T T T"
Zn 0.000 0.000 0.000
Re 0.000 0.000 2.207
Re 0.000 2.207 0.000
Re 2.207 0.000 0.000
Tc 2.207 2.207 2.207